## TiBe3Pt (PBE)

Data for an optimized crystal structure of TiBe3Pt.

Cell and atoms, written as POSCAR:
```
TiBe3Pt
1.0
4.167 0.000 0.000
0.000 4.167 0.000
0.000 0.000 4.167
Ti Be Pt
1 3 1
Direct
0.000 0.000 0.000 Ti
0.000 0.000 0.500 Be
0.000 0.500 0.000 Be
0.500 0.000 0.000 Be
0.500 0.500 0.500 Pt
```

Results
* space-group type: Pm-3m, No. 221
* excess energy over the best structure of this formula in the dataset: 1436 meV per atom
* formation energy: 150.9 kJ per mole of atoms